Crystalline SrZn2Pt at its relaxed geometry, computed with GGA-PBE.

It has space group Cmmm (No. 65), with a = 5.667 Å, b = 9.513 Å, c = 3.018 Å, α = 90.00°, β = 90.00° and γ = 90.00°. Symmetry generates all atoms from Sr at (0.000, 0.000, 0.000), Zn at (0.250, 0.250, 0.500) and Pt at (0.000, 0.500, 0.000).

As for the formation energy: 40.9 meV/atom.

Crystalline Rb3PuCl6 at its relaxed geometry, computed with GGA-PBE.

It has space group P2_1/c (No. 14), with a = 7.842 Å, b = 8.317 Å, c = 13.706 Å, α = 90.00°, β = 124.85° and γ = 90.00°. Symmetry generates all atoms from Rb at (0.000, 0.000, 0.000), Rb at (0.223, 0.068, 0.749), Pu at (0.500, 0.000, 0.500), Cl at (0.164, 0.183, 0.439), Cl at (0.260, 0.728, 0.429) and Cl at (0.401, 0.057, 0.277).

As for the formation energy from raw total energies: -1.978 eV per atom.

Crystalline PuUP at its relaxed geometry, computed with GGA-PBE.

It has space group I4mm (No. 107), with a = 3.726 Å, b = 3.726 Å, c = 8.393 Å, α = 90.00°, β = 90.00° and γ = 90.00°. Symmetry generates all atoms from Pu at (0.000, 0.000, 0.000), U at (0.000, 0.000, 0.706) and P at (0.000, 0.000, 0.352).

As for the formation energy: -613.9 meV/atom.